Material: MoAs2AuF
Method: DFT, GGA+U
State: relaxed

Cell lengths 4.879, 4.879, 5.743 Å; angles 90.00, 90.00, 90.00 degrees
Element x y z (fractional)
Mo 0.000 0.000 0.000
As 0.000 0.500 0.500
As 0.500 0.000 0.500
Au 0.000 0.000 0.500
F 0.500 0.500 0.000

Computed properties:
E: -3.591 eV/atom
SG: P4/mmm
M_tot: 3.139 μB per formula unit